# Ba2CdHg4Au3, relaxed, DFT GGA-PBE
# formation energy: -417 meV per atom
data_Ba2CdHg4Au3
_chemical_formula_sum 'Ba2 Cd1 Hg4 Au3'
_space_group_name_H-M_alt 'P -4 m 2'
_space_group_IT_number 115
_space_group_name_Hall 'P -4 -2'
_cell_length_a 4.615
_cell_length_b 4.615
_cell_length_c 13.020
_cell_angle_alpha 90.00
_cell_angle_beta 90.00
_cell_angle_gamma 90.00
loop_
_atom_site_label
_atom_site_type_symbol
_atom_site_fract_x
_atom_site_fract_y
_atom_site_fract_z
Ba1 Ba 0.000 0.500 0.242
Cd1 Cd 0.000 0.000 0.500
Hg1 Hg 0.000 0.000 0.000
Hg2 Hg 0.000 0.500 0.638
Hg3 Hg 0.500 0.500 0.000
Au1 Au 0.000 0.500 0.857
Au2 Au 0.500 0.500 0.500